Material: ScCu2Pt
Method: DFT, meta-GGA SCAN
State: PBEsol geometry

Calculated volume in Å³/atom: 14.12
E_tot in eV/atom: -29.389
Size of the total moment in Bohr magnetons per cell: 0.0

Unit cell a=3.7942 b=3.7942 c=7.8490 alpha=90.00 beta=90.00 gamma=90.00
Space group I4/mmm (No. 139)
Inequivalent atoms, fractional coordinates:
Sc1 0.0000 0.0000 0.0000 x2
Cu1 0.0000 0.5000 0.2500 x4
Pt1 0.0000 0.0000 0.5000 x2